No. 1
The following is a PBE calculation of a geometry-optimized MgTaH structure, from Alexandria.

Cell: 2.9462 4.9129 5.8085 Å, 89.11 80.37 90.56°
Atoms (fractional coordinates):
H: 0.1230 0.0102 0.1250
H: 0.7770 0.3861 0.0566
Ta: 0.6051 0.7543 0.0980
Ta: 0.3482 0.2625 0.8740
Mg: 0.0978 0.7722 0.6174
Mg: 0.9141 0.2831 0.3948

***

No. 2
The following is a PBE calculation of a geometry-optimized Ba2ScCl structure, from Alexandria.

Cell: 3.9287 3.9287 11.2717 Å, 90.00 90.00 118.33°
Last column: magnetic moment on the atom in μB.
Atoms (fractional coordinates):
Ba: 0.0000 0.0000 0.9622  0.05
Ba: 0.5000 0.5000 0.3042  -0.02
Sc: 0.5000 0.5000 0.6993  0.35
Cl: 0.0000 0.0000 0.5343  0.00

***

No. 3
The following is a PBE calculation of a geometry-optimized Ba3MnBr structure, from Alexandria.

Cell: 6.2716 6.2716 6.2716 Å, 90.00 90.00 90.00°
Last column: magnetic moment on the atom in μB.
Atoms (fractional coordinates):
Br: 0.0000 0.0000 0.0000  0.01
Ba: 0.0000 0.0000 0.5000  0.19
Ba: 0.0000 0.5000 0.0000  0.17
Ba: 0.5000 0.0000 0.0000  0.12
Mn: 0.5000 0.5000 0.5000  -4.37

***

No. 4
The following is a PBE calculation of a geometry-optimized Co2SiTc structure, from Alexandria.

Cell: 3.7769 2.6212 4.9716 Å, 74.14 90.00 90.00°
Atoms (fractional coordinates):
Co: 0.0000 0.4014 0.4916
Co: 0.0000 0.0986 0.0084
Tc: 0.5000 0.7500 0.7500
Si: 0.5000 0.2500 0.2500

***

No. 5
The following is a PBE calculation of a geometry-optimized CaFeCo2 structure, from Alexandria.

Cell: 4.3477 4.3477 4.3477 Å, 60.00 60.00 60.00°
Last column: magnetic moment on the atom in μB.
Atoms (fractional coordinates):
Fe: 0.7500 0.7500 0.7500  2.54
Co: 0.0000 0.0000 0.0000  1.69
Co: 0.2500 0.2500 0.2500  1.44
Ca: 0.5000 0.5000 0.5000  -0.11

**ΔH_f (0 K)**: 202 kJ/mol of formula units

***

No. 6
The following is a PBE calculation of a geometry-optimized ScIn5 structure, from Alexandria.

Cell: 6.2641 6.2641 7.5440 Å, 75.93 75.93 31.83°
Atoms (fractional coordinates):
In: 0.0555 0.0555 0.3958
In: 0.6669 0.6669 0.6637
In: 0.3334 0.3334 0.3179
In: 0.0084 0.0084 0.0016
In: 0.3792 0.3792 0.7331
Sc: 0.7233 0.7233 0.0546

**ΔH_f (0 K)**: -54 kJ/mol of formula units

***

No. 7
The following is a PBE calculation of a geometry-optimized Ac2Te3Pb structure, from Alexandria.

Cell: 6.5884 9.6158 8.1722 Å, 103.55 113.77 90.00°
Atoms (fractional coordinates):
Ac: 0.3651 0.4402 0.6918
Ac: 0.6733 0.0598 0.3082
Ac: 0.6349 0.5598 0.3082
Ac: 0.3267 0.9402 0.6918
Te: 0.8347 0.3763 0.6289
Te: 0.6457 0.2500 0.0000
Te: 0.2058 0.1237 0.3711
Te: 0.3543 0.7500 0.0000
Te: 0.7942 0.8763 0.6289
Te: 0.1653 0.6237 0.3711
Pb: 0.1680 0.2500 0.0000
Pb: 0.8320 0.7500 0.0000

***

No. 8
The following is a PBE calculation of a geometry-optimized Li2AcPr structure, from Alexandria.

Cell: 5.5835 5.5835 5.5835 Å, 60.00 60.00 60.00°
Atoms (fractional coordinates):
Pr: 0.0000 0.0000 0.0000
Li: 0.7500 0.7500 0.7500
Li: 0.2500 0.2500 0.2500
Ac: 0.5000 0.5000 0.5000

**ΔH_f (0 K)**: 52 kJ/mol of formula units

***

Per-record electronic total energy, eV for the cell shown: -33.29 -13.71 -16.89 -30.71 -22.58 -20.58 -56.01 -12.18